Record 1
RbPu2Cl4 PBE relaxed; VASP energy = -6.85 eV per atom; space group = No. 63; formation energy without anion corrections = -1564 meV/atom
1.0
-1.694 -1.481 -3.309
0.190 -5.242 4.669
-13.263 3.980 5.009
Rb Pu Cl
2 4 8
Direct
0.589 0.178 0.750
0.411 0.822 0.250
0.147 0.293 0.445
0.853 0.707 0.945
0.147 0.293 0.055
0.853 0.707 0.555
0.781 0.562 0.124
0.781 0.562 0.376
0.219 0.438 0.876
0.219 0.438 0.624
0.906 0.812 0.750
0.094 0.188 0.250
0.500 0.000 0.000
0.500 0.000 0.500

---

Record 2
K2NiSe PBE relaxed; VASP energy = -2.81 eV per atom; space group = No. 123; formation energy without anion corrections = 52 meV/atom
1.0
4.674 0.000 0.000
0.000 4.674 0.000
0.000 0.000 4.722
K Ni Se
2 1 1
Direct
0.000 0.000 0.000
0.500 0.500 0.000
0.500 0.000 0.500
0.000 0.500 0.500

---

Record 3
CeHoTe2S PBE relaxed; VASP energy = -5.69 eV per atom; space group = No. 129; formation energy without anion corrections = -1501 meV/atom
1.0
-3.044 -0.639 3.127
2.939 -2.246 2.402
4.344 13.061 6.897
Ce Ho Te S
2 2 4 2
Direct
0.500 0.000 0.607
0.000 0.500 0.393
0.500 0.000 0.105
0.000 0.500 0.895
0.000 0.500 0.703
0.000 0.500 0.100
0.500 0.000 0.900
0.500 0.000 0.297
0.000 0.000 0.500
0.500 0.500 0.500